Material: Ba2Bi3S8
Method: DFT, PBE
State: optimized geometry

Calculated values
The formation energy (no corrections) is -15.7 kcal/mol of atoms.

Cell lengths 8.459, 8.459, 6.986 Å; angles 104.80, 104.80, 56.41 degrees
Positions (direct):
Ba1 0.230 0.230 0.183
Ba2 0.770 0.770 0.817
Bi1 0.243 0.757 0.500
Bi2 0.500 0.500 0.000
Bi3 0.757 0.243 0.500
S1 0.133 0.133 0.529
S2 0.163 0.624 0.102
S3 0.376 0.837 0.898
S4 0.389 0.389 0.611
S5 0.611 0.611 0.389
S6 0.624 0.163 0.102
S7 0.837 0.376 0.898
S8 0.867 0.867 0.471



Material: La4ThPa3N8
Method: DFT, PBE
State: optimized geometry

Calculated values
The formation energy (no corrections) is -36.1 kcal/mol of atoms.

Cell lengths 7.298, 7.298, 7.298 Å; angles 59.54, 59.54, 59.54 degrees
Positions (direct):
La1 0.000 0.000 0.000
La2 0.000 0.500 0.500
La3 0.500 0.000 0.500
La4 0.500 0.500 0.000
Th1 0.500 0.500 0.500
Pa1 0.000 0.000 0.500
Pa2 0.000 0.500 0.000
Pa3 0.500 0.000 0.000
N1 0.218 0.743 0.743
N2 0.233 0.233 0.233
N3 0.257 0.257 0.782
N4 0.257 0.782 0.257
N5 0.743 0.218 0.743
N6 0.743 0.743 0.218
N7 0.767 0.767 0.767
N8 0.782 0.257 0.257